First-principles (SCAN) data for CsW3Cl9 at its PBEsol-relaxed geometry, as listed in Alexandria.

For the density of states at the Fermi level, the calculation gives 0.31 states/eV/atom. The calculation puts the uncorrected formation energy at -1.063 eV per atom. The energy comes out at -665.0 eV for the cell shown.

The space group is P-3 (No. 147) and the conventional cell measures 9.5609, 9.5609 and 8.4505 Å, with angles of 90.00, 90.00 and 120.00 degrees. The inequivalent atoms are Cs at (0.3333, 0.6667, 0.0405), W at (0.0126, 0.8283, 0.6231), Cl at (0.0139, 0.8104, 0.1858), Cl at (0.0262, 0.6290, 0.7984) and Cl at (0.1842, 0.4146, 0.5010).